# 1
Material: CuAgPS4
Method: DFT, PBE
State: relaxed

Results
The value obtained for the calculated total energy is -30.1 eV for the cell shown.

The structure in POSCAR format:
```
CuAgPS4
1.0
-2.9734 2.9734 4.4050
2.9734 -2.9734 4.4050
2.9734 2.9734 -4.4050
Cu Ag P S
1 1 1 4
Direct
0.0000 0.0000 0.0000
0.5000 0.5000 0.0000
0.7500 0.2500 0.5000
0.0630 0.5971 0.9192
0.4029 0.3220 0.4658
0.6780 0.1438 0.0808
0.8562 0.9370 0.5342
```



# 2
Material: Na2GeAs2
Method: DFT, PBE
State: relaxed

Results
As for the energy above the most stable polymorph in this dataset: 1.823 eV per formula unit. The energy of formation comes out at 0.0601 eV/atom.

The structure in POSCAR format:
```
Na2GeAs2
1.0
-1.8333 1.8333 9.2054
1.8333 -1.8333 9.2054
1.8333 1.8333 -9.2054
Na Ge As
2 1 2
Direct
0.1052 0.1052 0.0000
0.8948 0.8948 0.0000
0.5000 0.5000 0.0000
0.2500 0.7500 0.5000
0.7500 0.2500 0.5000
```



# 3
Material: Na2LaZrS4
Method: DFT, PBE
State: relaxed

Results
The value obtained for the calculated total energy is -45.5 eV for the cell shown.

The structure in POSCAR format:
```
Na2LaZrS4
1.0
6.9153 0.0000 0.0000
0.0000 3.9248 0.0000
-2.2536 0.0000 6.7471
Na La Zr S
2 1 1 4
Direct
0.0000 0.0000 0.0000
0.5000 0.5000 0.0000
0.0000 0.5000 0.5000
0.5000 0.0000 0.5000
0.2702 0.0000 0.7351
0.2784 0.5000 0.2761
0.7216 0.5000 0.7239
0.7298 0.0000 0.2649
```



Calculated density of states at the Fermi level (states/eV/f.u.), listed in the same order as above: 5.80; 3.83; 3.41